(1)
Dy2GeHPt6 PBE-GGA optimized geometry; total DFT energy (no corrections) = -6.1684 eV per atom; V = 16.91 Å³/atom
1.0
5.654 -0.007 0.002
0.008 6.862 0.927
2.830 3.993 4.899
Dy Ge H Pt
2 1 1 6
Cartesian
5.657 3.195 2.313 Dy
2.835 7.653 3.515 Dy
2.831 3.428 0.465 Ge
0.000 0.000 0.000 H
2.831 3.992 2.880 Pt
4.244 5.419 0.899 Pt
1.423 5.423 0.898 Pt
7.069 5.425 4.930 Pt
4.248 5.429 4.929 Pt
5.661 6.856 2.948 Pt



(2)
LaZnW2 PBE-GGA optimized geometry; ΔE_f = 2.35 eV/f.u.; V = 20.61 Å³/atom
1.0
5.131 -0.045 0.030
4.134 3.039 0.030
0.931 0.301 5.232
La W Zn
1 2 1
Cartesian
7.647 2.471 3.969 La
9.119 2.947 0.490 W
5.244 1.695 2.215 W
2.549 0.824 1.323 Zn



Q: V of number 1 (Dy2GeHPt6)?
A: 16.91 Å³/atom



Q: Among the records above, which one has the highest V?
A: LaZnW2



Q: Which of these has the lowest V?
A: Dy2GeHPt6



Q: What is the V in the first record?
A: 16.91 Å³/atom